Record 1
A relaxed structure of Ba2TeRhSe, computed with PBE.

```
data_Ba2TeRhSe
_cell_length_a 6.180
_cell_length_b 6.180
_cell_length_c 4.616
_cell_angle_alpha 90.00
_cell_angle_beta 90.00
_cell_angle_gamma 90.00
_symmetry_space_group_name_H-M 'P 1'
_symmetry_Int_Tables_number 1
_symmetry_space_group_name_Hall 'P 1'
loop_
_atom_site_label
_atom_site_type_symbol
_atom_site_fract_x
_atom_site_fract_y
_atom_site_fract_z
_atom_site_occupancy
Ba1 Ba 0.000 0.500 0.000 1
Ba2 Ba 0.500 0.000 0.000 1
Te1 Te 0.000 0.000 0.500 1
Rh1 Rh 0.500 0.500 0.000 1
Se1 Se 0.500 0.500 0.500 1
```

Values from the calculation:
crystal system = tetragonal
uncorrected formation energy = -1.0849 eV per atom
D(E_F) = 2.2 states/eV/f.u.

---

Record 2
A relaxed structure of BaVRh2Se, computed with PBE.

```
data_BaVRh2Se
_cell_length_a 4.710
_cell_length_b 4.710
_cell_length_c 4.989
_cell_angle_alpha 90.00
_cell_angle_beta 90.00
_cell_angle_gamma 90.00
_symmetry_space_group_name_H-M 'P 1'
_symmetry_Int_Tables_number 1
_symmetry_space_group_name_Hall 'P 1'
loop_
_atom_site_label
_atom_site_type_symbol
_atom_site_fract_x
_atom_site_fract_y
_atom_site_fract_z
_atom_site_occupancy
Ba1 Ba 0.000 0.000 0.000 1
V1 V 0.500 0.500 0.500 1
Rh1 Rh 0.000 0.500 0.500 1
Rh2 Rh 0.500 0.000 0.500 1
Se1 Se 0.500 0.500 0.000 1
```

Values from the calculation:
crystal system = tetragonal
uncorrected formation energy = -0.1629 eV per atom
D(E_F) = 2.1 states/eV/f.u.

---

For each record above, in turn, the calculated DFT total energy values are -4.65; -6.01 eV/atom.
For each record above, in turn, the calculated calculated volume values are 176; 111 Å³ per cell.
For each record above, in turn, the calculated M_tot values are 0.0000; 0.0000 μB/atom.